[1]
# Ag3HgBi3

Crystalline Ag3HgBi3 at its relaxed geometry (PBE-GGA, the Alexandria database).

Properties
* total magnetization: 0.0 μB per formula unit
* E: -2.50 eV/atom

Unit cell a=7.9293 b=7.9293 c=7.9293 alpha=90.00 beta=90.00 gamma=90.00
Positions (direct):
Ag (0.0000, 0.2500, 0.5000)
Ag (0.0000, 0.7500, 0.5000)
Ag (0.2500, 0.5000, 0.0000)
Ag (0.5000, 0.0000, 0.2500)
Ag (0.5000, 0.0000, 0.7500)
Ag (0.7500, 0.5000, 0.0000)
Hg (0.0000, 0.0000, 0.0000)
Hg (0.5000, 0.5000, 0.5000)
Bi (0.0000, 0.5000, 0.2500)
Bi (0.0000, 0.5000, 0.7500)
Bi (0.2500, 0.0000, 0.5000)
Bi (0.5000, 0.2500, 0.0000)
Bi (0.5000, 0.7500, 0.0000)
Bi (0.7500, 0.0000, 0.5000)

=====

[2]
# SiPN2F

Crystalline SiPN2F at its relaxed geometry (PBE-GGA, the Alexandria database).

Properties
* energy relative to the elements, uncorrected: 0.0713 eV/atom
* total magnetization: 0.0 μB per formula unit
* E: -5.80 eV/atom
* excess energy over the best structure of this formula in the dataset: 0 meV/atom

Unit cell a=3.6927 b=3.6927 c=3.4822 alpha=90.00 beta=90.00 gamma=90.00
Positions (direct):
Si (0.0000, 0.0000, 0.0000)
P (0.5000, 0.5000, 0.5000)
N (0.0000, 0.5000, 0.0000)
N (0.5000, 0.0000, 0.0000)
F (0.0000, 0.0000, 0.5000)